# 1
Material: KZrIn2
Method: DFT, PBE
State: relaxed

Unit cell a=11.2769 b=11.2769 c=11.2769 alpha=17.19 beta=17.19 gamma=17.19
Closest atoms and distances in Å follow each position.
Element x y z (fractional)
1 K 0.0000 0.0000 0.0000  6 K 3.37, 6 In 3.63
2 Zr 0.5000 0.5000 0.5000  6 In 3.16, 6 Zr 3.37
3 In 0.2415 0.2415 0.2415  3 Zr 3.16, 6 In 3.37
4 In 0.7585 0.7585 0.7585  3 Zr 3.16, 6 In 3.37

Calculated values
* symmetry: No. 166
* V: 27.3 Å³ per atom
* total magnetic moment: 0.00 μB per cell
* polymorph energy (0 for the lowest one): 136 meV per atom

# 2
Material: KZr2In
Method: DFT, PBE
State: relaxed

Unit cell a=12.2912 b=12.2912 c=12.2912 alpha=15.04 beta=15.04 gamma=15.04
Closest atoms and distances in Å follow each position.
Element x y z (fractional)
1 K 0.0000 0.0000 0.0000  6 K 3.22
2 Zr 0.2374 0.2374 0.2374  3 In 3.18, 6 Zr 3.22
3 Zr 0.7626 0.7626 0.7626  3 In 3.18, 6 Zr 3.22
4 In 0.5000 0.5000 0.5000  6 Zr 3.18, 6 In 3.22

Calculated values
* symmetry: No. 166
* V: 27.2 Å³ per atom
* total magnetic moment: 1.04 μB per cell
* final energy: -4.8546 eV per atom

Which value of V does entry 2 give? 27.2 Å³ per atom

total magnetic moment of number 2 (KZr2In)? 1.04 μB per cell

What is the formula in the first record? KZrIn2